(1)
UB2Ir2Rh: optimized geometry, GGA-PBE.

a = 6.458 Å, b = 6.458 Å, c = 6.458 Å
α = 144.57°, β = 144.57°, γ = 50.98°
Positions (direct):
U (0.000, 0.000, 0.000)
B (0.319, 0.319, 0.000)
B (0.681, 0.681, 0.000)
Ir (0.250, 0.750, 0.500)
Ir (0.750, 0.250, 0.500)
Rh (0.500, 0.500, 0.000)

## Properties
The value obtained for the total magnetization is 2.01 μB/cell. As for the electronic total energy: -8.6153 eV/atom. As for the formation energy: -329 meV/atom.

---

(2)
LiScBi2: optimized geometry, GGA-PBE.

a = 4.957 Å, b = 4.957 Å, c = 4.049 Å
α = 90.00°, β = 90.00°, γ = 90.00°
Positions (direct):
Li (0.000, 0.000, 0.000)
Sc (0.500, 0.500, 0.000)
Bi (0.000, 0.500, 0.500)
Bi (0.500, 0.000, 0.500)

## Properties
The energy above the most stable polymorph in this dataset is 0.00 kcal/mol of atoms. The value obtained for the total magnetization is 0.00 μB/cell. As for the electronic total energy: -4.4248 eV/atom. As for the formation energy: -423 meV/atom.

---

(3)
Sr2InPd4Pb3: optimized geometry, GGA-PBE.

a = 4.753 Å, b = 4.753 Å, c = 11.192 Å
α = 90.00°, β = 90.00°, γ = 90.00°
Positions (direct):
Sr (0.000, 0.500, 0.241)
Sr (0.500, 0.000, 0.759)
In (0.000, 0.000, 0.500)
Pd (0.000, 0.000, 0.000)
Pd (0.000, 0.500, 0.631)
Pd (0.500, 0.000, 0.369)
Pd (0.500, 0.500, 0.000)
Pb (0.000, 0.500, 0.875)
Pb (0.500, 0.000, 0.125)
Pb (0.500, 0.500, 0.500)

## Properties
The value obtained for the total magnetization is 0.00 μB/cell. As for the electronic total energy: -4.3052 eV/atom. As for the formation energy: -505 meV/atom.

---

(4)
Mn2CdCuH: optimized geometry, GGA-PBE.

a = 3.896 Å, b = 3.896 Å, c = 4.002 Å
α = 90.00°, β = 90.00°, γ = 90.00°
Positions (direct):
Mn (0.000, 0.500, 0.000)
Mn (0.500, 0.000, 0.000)
Cd (0.000, 0.000, 0.500)
Cu (0.500, 0.500, 0.500)
H (0.500, 0.500, 0.000)

## Properties
The value obtained for the total magnetization is 6.18 μB/cell. As for the electronic total energy: -5.1580 eV/atom.

---

(5)
YSc2Hg: optimized geometry, GGA-PBE.

a = 3.475 Å, b = 4.888 Å, c = 6.230 Å
α = 90.00°, β = 105.98°, γ = 90.00°
Positions (direct):
Y (0.000, 0.000, 0.000)
Sc (0.392, 0.500, 0.731)
Sc (0.608, 0.500, 0.269)
Hg (0.000, 0.000, 0.500)

## Properties
The value obtained for the total magnetization is 0.00 μB/cell. As for the electronic total energy: -5.0009 eV/atom. As for the formation energy: -144 meV/atom.

---

(6)
TeBr: optimized geometry, GGA-PBE.

a = 3.552 Å, b = 3.552 Å, c = 4.990 Å
α = 90.00°, β = 90.00°, γ = 120.00°
Positions (direct):
Te (0.000, 0.000, 0.000)
Br (0.667, 0.333, 0.500)

## Properties
The raw formation energy is 0.31 eV/atom. The value obtained for the total magnetization is 0.00 μB/cell. As for the electronic total energy: -2.0942 eV/atom.

---

(7)
La8PrTh3: optimized geometry, GGA-PBE.

a = 6.402 Å, b = 6.402 Å, c = 12.010 Å
α = 90.00°, β = 90.00°, γ = 120.00°
Positions (direct):
La (0.000, 0.333, 0.240)
La (0.000, 0.667, 0.760)
La (0.333, 0.000, 0.240)
La (0.333, 0.333, 0.760)
La (0.333, 0.667, 0.500)
La (0.667, 0.000, 0.760)
La (0.667, 0.333, 0.500)
La (0.667, 0.667, 0.240)
Pr (0.000, 0.000, 0.500)
Th (0.000, 0.000, 0.000)
Th (0.333, 0.667, 0.000)
Th (0.667, 0.333, 0.000)

## Properties
The value obtained for the total magnetization is 0.00 μB/cell. As for the electronic total energy: -5.5121 eV/atom. As for the formation energy: 26 meV/atom.

---

(8)
Na2BiPd2: optimized geometry, GGA-PBE.

a = 5.755 Å, b = 5.755 Å, c = 8.336 Å
α = 101.30°, β = 101.30°, γ = 61.21°
Positions (direct):
Na (0.014, 0.286, 0.154)
Na (0.286, 0.014, 0.654)
Na (0.714, 0.986, 0.346)
Na (0.986, 0.714, 0.846)
Bi (0.359, 0.641, 0.250)
Bi (0.641, 0.359, 0.750)
Pd (0.234, 0.501, 0.502)
Pd (0.499, 0.766, 0.998)
Pd (0.501, 0.234, 0.002)
Pd (0.766, 0.499, 0.498)

## Properties
The energy above the most stable polymorph in this dataset is 0.00 kcal/mol of atoms. The value obtained for the total magnetization is 0.00 μB/cell. As for the electronic total energy: -3.6645 eV/atom. As for the formation energy: -284 meV/atom.